DFT (PBE) results for a geometry-optimized FeSiBC structure.

Unit cell a=2.833 b=2.797 c=9.563 alpha=90.00 beta=90.00 gamma=90.00
Last column: magnetic moment on the atom in μB.
Fractional coordinates of all 8 atoms:
C1 0.500 0.000 0.981  0.00
C2 0.500 0.500 0.481  0.00
Si1 0.500 0.000 0.784  0.00
Si2 0.500 0.500 0.284  0.00
B1 0.500 0.000 0.545  0.00
B2 0.500 0.500 0.045  0.00
Fe1 0.000 0.000 0.144  0.94
Fe2 0.000 0.500 0.644  0.94

The value obtained for the energy relative to the elements, uncorrected is -0.04 eV per atom.

***

DFT (PBE) results for a geometry-optimized FeSiBC structure.

Unit cell a=3.582 b=3.026 c=6.970 alpha=90.00 beta=100.38 gamma=90.00
Last column: magnetic moment on the atom in μB.
Fractional coordinates of all 8 atoms:
C1 0.381 0.000 0.351  0.03
C2 0.381 0.500 0.851  0.03
Si1 0.537 0.000 0.708  0.00
Si2 0.537 0.500 0.208  0.00
B1 0.045 0.000 0.179  -0.02
B2 0.045 0.500 0.679  -0.02
Fe1 0.916 0.000 0.473  0.91
Fe2 0.916 0.500 0.973  0.91

The value obtained for the energy relative to the elements, uncorrected is 0.27 eV per atom.

***

DFT (PBE) results for a geometry-optimized SmFe2BC structure.

Unit cell a=3.600 b=5.328 c=6.715 alpha=90.00 beta=90.00 gamma=109.75
Last column: magnetic moment on the atom in μB.
Fractional coordinates of all 10 atoms:
Sm1 0.452 0.904 0.750  -0.02
Sm2 0.548 0.096 0.250  -0.02
Fe1 0.176 0.353 0.937  1.08
Fe2 0.824 0.647 0.063  1.08
Fe3 0.176 0.353 0.563  1.08
Fe4 0.824 0.647 0.437  1.08
B1 0.730 0.461 0.750  -0.06
B2 0.270 0.539 0.250  -0.06
C1 0.000 0.000 0.000  -0.08
C2 0.000 0.000 0.500  -0.08

The energy of formation is -198 meV/atom.

***

DFT (PBE) results for a geometry-optimized Sm2Fe2BC2 structure.

Unit cell a=3.513 b=5.397 c=5.746 alpha=69.78 beta=72.20 gamma=71.01
Fractional coordinates of all 7 atoms:
Sm1 0.571 0.195 0.663
Sm2 0.429 0.805 0.337
Fe1 0.207 0.673 0.914
Fe2 0.793 0.327 0.086
B1 0.000 0.000 0.000
C1 0.204 0.367 0.225
C2 0.796 0.633 0.775

The energy of formation is -160 meV/atom.

***

DFT (PBE) results for a geometry-optimized Tb2Fe2B2C structure.

Unit cell a=3.592 b=5.414 c=5.617 alpha=71.45 beta=71.35 gamma=70.62
Fractional coordinates of all 7 atoms:
Tb1 0.562 0.190 0.685
Tb2 0.438 0.810 0.315
Fe1 0.203 0.686 0.909
Fe2 0.797 0.314 0.091
B1 0.196 0.375 0.233
B2 0.804 0.625 0.767
C1 0.000 0.000 0.000

The energy of formation is -433 meV/atom.

***

DFT (PBE) results for a geometry-optimized ThFe2BC structure.

Unit cell a=3.707 b=5.399 c=6.755 alpha=90.00 beta=90.00 gamma=110.08
Last column: magnetic moment on the atom in μB.
Fractional coordinates of all 10 atoms:
Th1 0.447 0.895 0.750  -0.05
Th2 0.553 0.105 0.250  -0.05
Fe1 0.176 0.353 0.937  0.75
Fe2 0.824 0.647 0.063  0.75
Fe3 0.176 0.353 0.563  0.75
Fe4 0.824 0.647 0.437  0.75
B1 0.730 0.459 0.750  -0.04
B2 0.270 0.541 0.250  -0.04
C1 0.000 0.000 0.000  -0.05
C2 0.000 0.000 0.500  -0.05

The energy of formation is -194 meV/atom.

***

DFT (PBE) results for a geometry-optimized TmFe2BC structure.

Unit cell a=3.450 b=5.273 c=6.576 alpha=90.00 beta=90.00 gamma=109.09
Last column: magnetic moment on the atom in μB.
Fractional coordinates of all 10 atoms:
Tm1 0.452 0.905 0.750  -0.04
Tm2 0.548 0.095 0.250  -0.04
Fe1 0.175 0.350 0.937  0.87
Fe2 0.825 0.650 0.063  0.87
Fe3 0.175 0.350 0.563  0.87
Fe4 0.825 0.650 0.437  0.87
B1 0.732 0.463 0.750  -0.05
B2 0.268 0.537 0.250  -0.05
C1 0.000 0.000 0.000  -0.06
C2 0.000 0.000 0.500  -0.06

The energy of formation is -361 meV/atom.

***

DFT (PBE) results for a geometry-optimized Tm2Fe2B2C structure.

Unit cell a=3.540 b=5.355 c=5.493 alpha=71.17 beta=71.20 gamma=70.70
Fractional coordinates of all 7 atoms:
Tm1 0.563 0.189 0.685
Tm2 0.437 0.811 0.315
Fe1 0.205 0.686 0.904
Fe2 0.795 0.314 0.096
B1 0.188 0.379 0.246
B2 0.812 0.621 0.754
C1 0.000 0.000 0.000

The energy of formation is -480 meV/atom.

***

DFT (PBE) results for a geometry-optimized VFeB2C structure.

Unit cell a=3.874 b=3.756 c=3.874 alpha=90.00 beta=90.00 gamma=90.00
Last column: magnetic moment on the atom in μB.
Fractional coordinates of all 5 atoms:
C1 0.000 0.500 0.000  -0.02
B1 0.000 0.000 0.500  0.03
B2 0.500 0.000 0.000  0.00
Fe1 0.500 0.500 0.500  -0.18
V1 0.000 0.000 0.000  0.02

The energy of formation is 1765 meV/atom.

***

DFT (PBE) results for a geometry-optimized YFe2BC structure.

Unit cell a=3.507 b=5.299 c=6.645 alpha=90.00 beta=90.00 gamma=109.32
Last column: magnetic moment on the atom in μB.
Fractional coordinates of all 10 atoms:
Y1 0.452 0.905 0.750  -0.02
Y2 0.548 0.095 0.250  -0.02
Fe1 0.176 0.351 0.937  1.00
Fe2 0.824 0.649 0.063  1.00
Fe3 0.176 0.351 0.563  1.00
Fe4 0.824 0.649 0.437  1.00
B1 0.731 0.462 0.750  -0.05
B2 0.269 0.538 0.250  -0.05
C1 0.000 0.000 0.000  -0.07
C2 0.000 0.000 0.500  -0.07

The energy of formation is -301 meV/atom.